Entry 1:
A geometry-optimized Na4Pm3GaO8 structure. Source: the Alexandria database, functional PBE.

a = 6.8232 Å, b = 6.8455 Å, c = 6.9442 Å
α = 119.73°, β = 119.43°, γ = 90.00°
Last column: nearest neighbours and their distance in Å.
Fractional positions:
O1 0.2268 0.3048 0.0217  1 Ga 2.04
O2 0.7343 0.7171 0.4685  3 Pm 2.33-2.34, 2 Na 2.51
Pm1 0.5000 0.5000 0.0000  6 O 2.33-2.40
O3 0.2051 0.6952 0.9783  1 Ga 2.04
Na1 0.5000 0.0000 0.5000  6 O 2.50-2.62
Pm2 0.0000 0.5000 0.5000  6 O 2.34-2.41
O4 0.7388 0.2550 0.4776  2 Pm 2.34, 3 Na 2.38-2.50, 1 Ga 2.60
Na2 0.0000 0.0000 0.0000  6 O 2.50-2.64
O5 0.2657 0.2829 0.5315  3 Pm 2.33-2.34, 2 Na 2.51
Ga1 0.0000 0.5000 0.0000  4 O 2.04
Na3 0.5000 0.0000 0.0000  2 O 2.38
Na4 0.0000 0.0000 0.5000  6 O 2.50-2.62
O6 0.7949 0.3048 0.0217  1 Ga 2.04
O7 0.7732 0.6952 0.9783  1 Ga 2.04
O8 0.2612 0.7450 0.5224  2 Pm 2.34, 3 Na 2.38-2.50, 1 Ga 2.60
Pm3 0.5000 0.5000 0.5000  6 O 2.34-2.41

Computed properties:
Size of the total moment: 0.118 μB/cell
E: -6.2341 eV/atom
V: 14.51 A^3/atom

Entry 2:
A geometry-optimized Pm3ScHg4 structure. Source: the Alexandria database, functional PBE.

a = 3.6931 Å, b = 3.6931 Å, c = 15.3528 Å
α = 90.00°, β = 90.00°, γ = 90.00°
Last column: nearest neighbours and their distance in Å.
Fractional positions:
Hg1 0.0000 0.0000 0.3712  8 Pm 3.28-3.30
Hg2 0.0000 0.0000 0.6288  8 Pm 3.28-3.30
Pm1 0.5000 0.5000 0.5000  8 Hg 3.28
Hg3 0.0000 0.0000 0.8941  4 Sc 3.08, 1 Hg 3.25, 4 Pm 3.32
Pm2 0.5000 0.5000 0.2399  8 Hg 3.30-3.32, 1 Sc 3.68, 4 Pm 3.69
Sc1 0.5000 0.5000 0.0000  8 Hg 3.08
Pm3 0.5000 0.5000 0.7601  8 Hg 3.30-3.32, 1 Sc 3.68, 4 Pm 3.69
Hg4 0.0000 0.0000 0.1059  4 Sc 3.08, 1 Hg 3.25, 4 Pm 3.32

Computed properties:
Size of the total moment: 1.298 μB/cell
E: -3.1750 eV/atom
Formation energy: -3.6 eV per formula unit
V: 26.17 A^3/atom

Entry 3:
A geometry-optimized Be4NbCo structure. Source: the Alexandria database, functional PBE.

a = 3.5640 Å, b = 5.8155 Å, c = 6.0506 Å
α = 90.00°, β = 90.00°, γ = 90.00°
Last column: nearest neighbours and their distance in Å.
Fractional positions:
Be1 0.5000 0.6855 0.0588  2 Co 2.19, 3 Be 2.27-2.31
Co1 0.0000 0.2217 0.7500  6 Be 1.99-2.19
Be2 0.5000 0.9724 0.7500  2 Co 2.30, 8 Be 2.30-2.50
Be3 0.0000 0.0000 0.5000  2 Co 1.99
Be4 0.0000 0.0000 0.0000  2 Co 1.99
Be5 0.5000 0.6855 0.4412  2 Co 2.19, 3 Be 2.27-2.31
Nb1 0.0000 0.6355 0.7500  1 Co 2.41, 8 Be 2.60-2.65
Nb2 0.0000 0.3645 0.2500  1 Co 2.41, 8 Be 2.60-2.65
Be6 0.5000 0.0276 0.2500  2 Co 2.30, 8 Be 2.30-2.50
Co2 0.0000 0.7783 0.2500  6 Be 1.99-2.19
Be7 0.5000 0.3145 0.5588  2 Co 2.19, 3 Be 2.27-2.31
Be8 0.5000 0.3145 0.9412  2 Co 2.19, 3 Be 2.27-2.31

Computed properties:
Size of the total moment: 0.000 μB/cell
E: -5.4896 eV/atom
Formation energy: -0.9 eV per formula unit
Energy above the lowest structure with this stoichiometry: 31 meV per atom
V: 10.45 A^3/atom

Entry 4:
A geometry-optimized Lu2GeN structure. Source: the Alexandria database, functional PBE.

a = 3.4348 Å, b = 3.4348 Å, c = 7.2049 Å
α = 76.21°, β = 76.21°, γ = 60.00°
Last column: nearest neighbours and their distance in Å.
Fractional positions:
N1 0.0000 0.0000 0.0000  6 Lu 2.37
Lu1 0.2706 0.2706 0.1883  3 N 2.37
Ge1 0.5000 0.5000 0.5000  6 Lu 2.93
Lu2 0.7294 0.7294 0.8117  3 N 2.37

Computed properties:
Size of the total moment: 0.000 μB/cell
E: -6.7196 eV/atom
V: 17.69 A^3/atom

Entry 5:
A geometry-optimized K2HgPt structure. Source: the Alexandria database, functional PBE.

a = 6.3116 Å, b = 6.3116 Å, c = 6.3116 Å
α = 139.81°, β = 129.56°, γ = 66.37°
Last column: nearest neighbours and their distance in Å.
Fractional positions:
Pt1 0.4614 0.4614 0.0000  2 Hg 2.78
Hg1 0.2971 0.7971 0.5000  2 Pt 2.78
K1 0.0182 0.0182 0.0000  4 K 3.45-3.79, 4 Pt 3.51, 4 Hg 3.56-3.66
K2 0.7234 0.2234 0.5000  4 K 3.45-3.79, 4 Pt 3.52-3.68, 4 Hg 3.54

Computed properties:
Size of the total moment: 0.000 μB/cell
E: -2.2386 eV/atom
Formation energy: -0.4 eV per formula unit
V: 30.80 A^3/atom

Entry 6:
A geometry-optimized BiSb structure. Source: the Alexandria database, functional PBE.

a = 4.3094 Å, b = 4.3546 Å, c = 8.7871 Å
α = 119.73°, β = 104.19°, γ = 90.00°
Last column: nearest neighbours and their distance in Å.
Fractional positions:
Sb1 0.5978 0.6949 0.1956  1 Sb 2.86, 4 Bi 3.18-3.19
Bi1 0.1573 0.3136 0.3146  4 Sb 3.18-3.19, 2 Bi 3.47
Sb2 0.4022 0.3051 0.8044  1 Sb 2.86, 4 Bi 3.18-3.19
Bi2 0.8427 0.6864 0.6854  4 Sb 3.18-3.19, 2 Bi 3.47

Computed properties:
Size of the total moment: 0.000 μB/cell
E: -3.9045 eV/atom
Energy above the lowest structure with this stoichiometry: 104 meV per atom
V: 34.34 A^3/atom

Entry 7:
A geometry-optimized NpS6O2 structure. Source: the Alexandria database, functional PBE.

a = 3.4128 Å, b = 9.9988 Å, c = 8.3030 Å
α = 121.42°, β = 91.06°, γ = 98.66°
Last column: nearest neighbours and their distance in Å.
Fractional positions:
S1 0.9064 0.7656 0.4644  2 S 1.93-2.03
S2 0.0936 0.2344 0.5356  2 S 1.93-2.03
O1 0.4426 0.0693 0.9093  1 Np 1.90
S3 0.8315 0.7070 0.6641  1 S 2.03
O2 0.5574 0.9307 0.0907  1 Np 1.90
S4 0.8165 0.5786 0.2098  1 S 1.93
Np1 0.0000 0.0000 0.0000  2 O 1.90
S5 0.1835 0.4214 0.7902  1 S 1.93
S6 0.1685 0.2930 0.3359  1 S 2.03

Computed properties:
Size of the total moment: 1.612 μB/cell
E: -6.0667 eV/atom
V: 26.38 A^3/atom

Entry 8:
A geometry-optimized TiZn2Ga2 structure. Source: the Alexandria database, functional PBE.

a = 7.3240 Å, b = 7.3240 Å, c = 3.0072 Å
α = 90.00°, β = 90.00°, γ = 90.00°
Last column: nearest neighbours and their distance in Å.
Fractional positions:
Zn1 0.8772 0.6228 0.0000  1 Zn 2.54, 6 Ga 2.55-2.70
Ga1 0.3211 0.1789 0.5000  6 Zn 2.55-2.70
Zn2 0.6228 0.1228 0.0000  1 Zn 2.54, 6 Ga 2.55-2.70
Ga2 0.1789 0.6789 0.5000  6 Zn 2.55-2.70
Ga3 0.6789 0.8211 0.5000  6 Zn 2.55-2.70
Ti1 0.0000 0.0000 0.0000  4 Zn 2.91, 2 Ti 3.01, 8 Ga 3.08
Ga4 0.8211 0.3211 0.5000  6 Zn 2.55-2.70
Ti2 0.5000 0.5000 0.0000  4 Zn 2.91, 2 Ti 3.01, 8 Ga 3.08
Zn3 0.3772 0.8772 0.0000  1 Zn 2.54, 6 Ga 2.55-2.70
Zn4 0.1228 0.3772 0.0000  1 Zn 2.54, 6 Ga 2.55-2.70

Computed properties:
Size of the total moment: 0.000 μB/cell
E: -3.3248 eV/atom
Formation energy: -0.1 eV per formula unit
Energy above the lowest structure with this stoichiometry: 5 meV per atom
V: 16.13 A^3/atom